VASP calculation (PBE) on an optimized crystal structure of LaSm3Th4As8.

Values from the calculation:
- calculated formation energy (meV/atom) = -1482
- total magnetization (μB per formula unit) = 0.00
- SG = R-3m (166)
- final energy (eV per atom) = -6.85

```
LaSm3Th4As8
1.0
4.259 2.459 6.932
-4.259 2.459 6.932
0.000 -4.918 6.932
La Sm Th As
1 3 4 8
direct
0.000 0.000 0.000
0.000 0.500 0.500
0.500 0.000 0.500
0.500 0.500 0.000
0.000 0.000 0.500
0.000 0.500 0.000
0.500 0.000 0.000
0.500 0.500 0.500
0.250 0.250 0.250
0.252 0.252 0.748
0.252 0.748 0.252
0.252 0.748 0.748
0.748 0.252 0.252
0.748 0.252 0.748
0.748 0.748 0.252
0.750 0.750 0.750
```